Compound: Zn2PdRh
Source: Alexandria
Functional: GGA-PBE
Structure: relaxed

Properties
ΔH_f (0 K), eV/atom: 0.03
Fermi-level density of states, states/eV/f.u.: 3.352
SG: I-42d
Crystal system: tetragonal

Cell: 9.124 9.124 9.124 Å, 155.69 155.69 34.65°
Positions (direct):
Zn 0.118 0.625 0.993
Zn 0.375 0.368 0.493
Zn 0.632 0.125 0.007
Zn 0.875 0.882 0.507
Pd 0.250 0.750 0.500
Pd 0.500 0.500 0.000
Rh 0.000 0.000 0.000
Rh 0.750 0.250 0.500